BaPuVN4: relaxed, PBE-GGA.

Computed properties:
size of the total moment	3.00	μB per formula unit
energy relative to the elements, uncorrected	-0.86	eV/atom
SG	P2_1/m

a = 5.787 Å, b = 5.760 Å, c = 7.479 Å
α = 90.00°, β = 108.72°, γ = 90.00°
Site moments in Bohr magnetons follow the coordinates.
Sites, in units of the cell vectors:
Ba 0.705 0.750 0.927  0.00
Ba 0.295 0.250 0.073  0.00
Pu 0.791 0.750 0.456  3.74
Pu 0.209 0.250 0.544  3.74
V 0.243 0.750 0.332  0.12
V 0.757 0.250 0.668  0.12
N 0.967 0.490 0.683  -0.18
N 0.033 0.990 0.317  -0.18
N 0.033 0.510 0.317  -0.18
N 0.967 0.010 0.683  -0.18
N 0.451 0.750 0.194  -0.13
N 0.549 0.250 0.806  -0.13
N 0.475 0.750 0.556  -0.20
N 0.525 0.250 0.444  -0.20